Record 1
{
  "formula": "Pu2ZnC",
  "functional": "PBE-GGA",
  "state": "relaxed",
  "density_g_cm3": 10.80,
  "space_group": "R-3m",
  "relative_energy_ev_per_atom": 0.093,
  "e_form_mev_per_atom": 187,
  "lattice_angstrom": [[1.645, 0.950, 9.266], [-1.645, 0.950, 9.266], [0.000, -1.900, 9.266]],
  "species": ["Pu", "Pu", "Zn", "C"],
  "fractional_positions": [[0.114, 0.114, 0.114], [0.886, 0.886, 0.886], [0.000, 0.000, 0.000], [0.500, 0.500, 0.500]]
}



Record 2
{
  "formula": "PuZr5C6",
  "functional": "PBE-GGA",
  "state": "relaxed",
  "density_g_cm3": 7.93,
  "space_group": "C2/m",
  "e_form_mev_per_atom": -657,
  "lattice_angstrom": [[2.914, -5.049, 0.000], [2.914, 5.049, 0.000], [-1.931, 0.000, 5.498]],
  "species": ["Pu", "Zr", "Zr", "Zr", "Zr", "Zr", "C", "C", "C", "C", "C", "C"],
  "fractional_positions": [[0.000, 0.000, 0.000], [0.168, 0.832, 0.500], [0.333, 0.667, 0.000], [0.500, 0.500, 0.500], [0.667, 0.333, 0.000], [0.832, 0.168, 0.500], [0.083, 0.412, 0.249], [0.246, 0.246, 0.754], [0.412, 0.083, 0.249], [0.588, 0.917, 0.751], [0.754, 0.754, 0.246], [0.917, 0.588, 0.751]]
}



Record 3
{
  "formula": "PuZr3C4",
  "functional": "PBE-GGA",
  "state": "relaxed",
  "density_g_cm3": 8.59,
  "space_group": "I4/mmm",
  "e_form_mev_per_atom": -571,
  "lattice_angstrom": [[-2.392, 2.392, 4.781], [2.392, -2.392, 4.781], [2.392, 2.392, -4.781]],
  "species": ["Pu", "Zr", "Zr", "Zr", "C", "C", "C", "C"],
  "fractional_positions": [[0.000, 0.000, 0.000], [0.250, 0.750, 0.500], [0.500, 0.500, 0.000], [0.750, 0.250, 0.500], [0.000, 0.500, 0.500], [0.245, 0.245, 0.000], [0.500, 0.000, 0.500], [0.755, 0.755, 0.000]]
}



Record 4
{
  "formula": "PuZrC",
  "functional": "PBE-GGA",
  "state": "relaxed",
  "density_g_cm3": 10.42,
  "space_group": "P4/mmm",
  "relative_energy_ev_per_atom": 0.000,
  "e_form_mev_per_atom": -191,
  "lattice_angstrom": [[3.272, 0.000, 0.000], [0.000, 3.272, 0.000], [0.000, 0.000, 5.172]],
  "species": ["Pu", "Zr", "C"],
  "fractional_positions": [[0.000, 0.000, 0.000], [0.500, 0.500, 0.500], [0.000, 0.000, 0.500]]
}